(1)
This record from Alexandria describes a relaxed BaHf6S12 crystal. The functional is GGA-PBE.

The raw formation energy is -1.2694 eV per atom.

It has space group R-3m (No. 166, hexagonal axes), with a = 12.5100 Å, b = 12.5100 Å, c = 8.7456 Å, α = 90.00°, β = 90.00° and γ = 120.00°. The distinct sites, in fractional coordinates, are Ba at (0.0000, 0.0000, 0.0000), Hf at (0.0714, 0.5357, 0.2725), S at (0.0000, 0.3774, 0.5000) and S at (0.0889, 0.1778, 0.3369).


(2)
This record from Alexandria describes a relaxed NaPaGa2O8 crystal. The functional is GGA-PBE.

The raw formation energy is -1.5862 eV per atom.

It has space group I-4m2 (No. 119), with a = 6.976 Å, b = 6.976 Å, c = 7.134 Å, α = 90.00°, β = 90.00° and γ = 90.00°. The distinct sites, in fractional coordinates, are Na at (0.000, 0.000, 0.000), Pa at (0.000, 0.500, 0.750), Ga at (0.000, 0.000, 0.500), Ga at (0.000, 0.500, 0.250), O at (0.000, 0.198, 0.675) and O at (0.000, 0.338, 0.047).


(3)
This record from Alexandria describes a relaxed BaLaP2Pt crystal. The functional is GGA-PBE.

The calculation puts the energy of formation at -0.231 eV/atom.

It has space group P4/mmm (No. 123), with a = 5.234 Å, b = 5.234 Å, c = 5.082 Å, α = 90.00°, β = 90.00° and γ = 90.00°. The distinct sites, in fractional coordinates, are Ba at (0.000, 0.000, 0.000), La at (0.500, 0.500, 0.000), P at (0.000, 0.500, 0.500) and Pt at (0.500, 0.500, 0.500).


(4)
This record from Alexandria describes a relaxed Pu2Al3Zn4Ag crystal. The functional is GGA-PBE.

The calculation puts the energy of formation at -0.126 eV/atom.

It has space group P-4m2 (No. 115), with a = 4.205 Å, b = 4.205 Å, c = 10.951 Å, α = 90.00°, β = 90.00° and γ = 90.00°. The distinct sites, in fractional coordinates, are Pu at (0.000, 0.500, 0.245), Al at (0.000, 0.500, 0.867), Al at (0.500, 0.500, 0.500), Zn at (0.000, 0.000, 0.000), Zn at (0.000, 0.500, 0.642), Zn at (0.500, 0.500, 0.000) and Ag at (0.000, 0.000, 0.500).


(5)
This record from Alexandria describes a relaxed TePbNO2 crystal. The functional is GGA-PBE.

The raw formation energy is -0.1957 eV per atom.

It has space group P4/mmm (No. 123), with a = 4.177 Å, b = 4.177 Å, c = 4.199 Å, α = 90.00°, β = 90.00° and γ = 90.00°. The distinct sites, in fractional coordinates, are Te at (0.000, 0.000, 0.000), Pb at (0.500, 0.500, 0.500), N at (0.000, 0.000, 0.500) and O at (0.000, 0.500, 0.000).


Number 1: E -7.121 eV/atom, DOS at the Fermi energy 9.419 states/eV/f.u.. Number 2: E -6.297 eV/atom, DOS at the Fermi energy 9.279 states/eV/f.u.. Number 3: E -4.973 eV/atom, DOS at the Fermi energy 4.845 states/eV/f.u.. Number 4: E -4.910 eV/atom, DOS at the Fermi energy 25.683 states/eV/f.u.. Number 5: E -5.214 eV/atom, DOS at the Fermi energy 1.148 states/eV/f.u..